Record 1
The following is a DFT calculation (PBE) of an optimized crystal structure of V4Cr4Re3.

a = 2.612 Å, b = 4.181 Å, c = 13.476 Å
α = 81.14°, β = 86.36°, γ = 89.96°
Positions (direct):
V 0.042 0.316 0.368
V 0.136 0.953 0.093
V 0.864 0.047 0.907
V 0.958 0.684 0.632
Cr 0.223 0.592 0.815
Cr 0.322 0.229 0.542
Cr 0.678 0.771 0.458
Cr 0.777 0.408 0.185
Re 0.414 0.862 0.276
Re 0.500 0.500 0.000
Re 0.586 0.138 0.724

space-group type	P-1, No. 2
energy relative to the elements	-172	meV per atom
DOS at the Fermi energy	0.5115	states/eV/atom
DFT total energy	-10.382	eV per atom

Record 2
The following is a DFT calculation (PBE) of an optimized crystal structure of V6CrRe5.

a = 7.396 Å, b = 7.396 Å, c = 7.396 Å
α = 146.39°, β = 131.72°, γ = 60.11°
Positions (direct):
V 0.083 0.335 0.748
V 0.246 0.000 0.246
V 0.412 0.665 0.748
V 0.588 0.335 0.252
V 0.754 0.000 0.754
V 0.917 0.665 0.252
Cr 0.000 0.500 0.500
Re 0.166 0.166 0.000
Re 0.334 0.834 0.500
Re 0.500 0.500 0.000
Re 0.666 0.166 0.500
Re 0.834 0.834 0.000

space-group type	Immm, No. 71
energy relative to the elements	-321	meV per atom
DOS at the Fermi energy	0.5895	states/eV/atom
DFT total energy	-10.869	eV per atom